(1)
This record from the Alexandria database describes crystalline LiZnTc2Cl at its relaxed geometry. The functional is PBE.

Properties
* formation energy (no corrections): 1.39 eV/atom

```
data_LiZnTc2Cl
_cell_length_a 4.545
_cell_length_b 4.396
_cell_length_c 4.545
_cell_angle_alpha 90.00
_cell_angle_beta 90.00
_cell_angle_gamma 90.00
_symmetry_space_group_name_H-M 'P 1'
_symmetry_Int_Tables_number 1
loop_
_symmetry_equiv_pos_as_xyz
'x,y,z'
loop_
_atom_site_label
_atom_site_type_symbol
_atom_site_fract_x
_atom_site_fract_y
_atom_site_fract_z
_atom_site_occupancy
Tc1 Tc 0.500 0.000 0.000 1
Tc2 Tc 0.000 0.000 0.500 1
Cl1 Cl 0.500 0.500 0.500 1
Zn1 Zn 0.000 0.500 0.000 1
Li1 Li 0.000 0.000 0.000 1
```


(2)
This record from the Alexandria database describes crystalline Tb2HoMg3 at its relaxed geometry. The functional is PBE.

Properties
* calculated formation energy: -0.081 eV/atom

```
data_Tb2HoMg3
_cell_length_a 3.793
_cell_length_b 3.793
_cell_length_c 11.352
_cell_angle_alpha 90.00
_cell_angle_beta 90.00
_cell_angle_gamma 90.00
_symmetry_space_group_name_H-M 'P 1'
_symmetry_Int_Tables_number 1
loop_
_symmetry_equiv_pos_as_xyz
'x,y,z'
loop_
_atom_site_label
_atom_site_type_symbol
_atom_site_fract_x
_atom_site_fract_y
_atom_site_fract_z
_atom_site_occupancy
Ho1 Ho 0.500 0.500 0.500 1
Mg1 Mg 0.000 0.000 0.335 1
Mg2 Mg 0.000 0.000 0.000 1
Mg3 Mg 0.000 0.000 0.665 1
Tb1 Tb 0.500 0.500 0.832 1
Tb2 Tb 0.500 0.500 0.168 1
```


(3)
This record from the Alexandria database describes crystalline SiTe2Rh at its relaxed geometry. The functional is PBE.

Properties
* formation energy (no corrections): 0.31 eV/atom

```
data_SiTe2Rh
_cell_length_a 3.362
_cell_length_b 3.362
_cell_length_c 7.296
_cell_angle_alpha 90.00
_cell_angle_beta 90.00
_cell_angle_gamma 89.98
_symmetry_space_group_name_H-M 'P 1'
_symmetry_Int_Tables_number 1
loop_
_symmetry_equiv_pos_as_xyz
'x,y,z'
loop_
_atom_site_label
_atom_site_type_symbol
_atom_site_fract_x
_atom_site_fract_y
_atom_site_fract_z
_atom_site_occupancy
Rh1 Rh 0.500 0.500 0.250 1
Si1 Si 0.500 0.500 0.750 1
Te1 Te 0.000 0.000 0.021 1
Te2 Te 0.000 0.000 0.479 1
```


(4)
This record from the Alexandria database describes crystalline Ca2AcCu at its relaxed geometry. The functional is PBE.

Properties
* energy above the lowest structure with this stoichiometry: 0.0710 eV per atom
* calculated formation energy: 0.024 eV/atom

```
data_Ca2AcCu
_cell_length_a 3.714
_cell_length_b 3.714
_cell_length_c 9.463
_cell_angle_alpha 90.00
_cell_angle_beta 90.00
_cell_angle_gamma 90.00
_symmetry_space_group_name_H-M 'P 1'
_symmetry_Int_Tables_number 1
loop_
_symmetry_equiv_pos_as_xyz
'x,y,z'
loop_
_atom_site_label
_atom_site_type_symbol
_atom_site_fract_x
_atom_site_fract_y
_atom_site_fract_z
_atom_site_occupancy
Ca1 Ca 0.000 0.000 0.820 1
Ca2 Ca 0.000 0.000 0.180 1
Cu1 Cu 0.500 0.500 0.000 1
Ac1 Ac 0.500 0.500 0.500 1
```


(5)
This record from the Alexandria database describes crystalline ZrReSi2 at its relaxed geometry. The functional is PBE.

Properties
* formation energy (no corrections): -0.34 eV/atom

```
data_ZrReSi2
_cell_length_a 4.269
_cell_length_b 4.269
_cell_length_c 5.442
_cell_angle_alpha 79.91
_cell_angle_beta 79.91
_cell_angle_gamma 42.85
_symmetry_space_group_name_H-M 'P 1'
_symmetry_Int_Tables_number 1
loop_
_symmetry_equiv_pos_as_xyz
'x,y,z'
loop_
_atom_site_label
_atom_site_type_symbol
_atom_site_fract_x
_atom_site_fract_y
_atom_site_fract_z
_atom_site_occupancy
Zr1 Zr 0.750 0.750 0.750 1
Si1 Si 0.513 0.513 0.431 1
Si2 Si 0.987 0.987 0.069 1
Re1 Re 0.250 0.250 0.250 1
```


(6)
This record from the Alexandria database describes crystalline La8Co3RhBr4 at its relaxed geometry. The functional is PBE.

Properties
* formation energy (no corrections): -0.92 eV/atom

```
data_La8Co3RhBr4
_cell_length_a 8.188
_cell_length_b 9.220
_cell_length_c 8.197
_cell_angle_alpha 116.35
_cell_angle_beta 119.96
_cell_angle_gamma 90.00
_symmetry_space_group_name_H-M 'P 1'
_symmetry_Int_Tables_number 1
loop_
_symmetry_equiv_pos_as_xyz
'x,y,z'
loop_
_atom_site_label
_atom_site_type_symbol
_atom_site_fract_x
_atom_site_fract_y
_atom_site_fract_z
_atom_site_occupancy
La1 La 0.731 0.691 0.462 1
La2 La 0.236 0.693 0.959 1
La3 La 0.724 0.693 0.959 1
La4 La 0.765 0.307 0.530 1
La5 La 0.235 0.693 0.470 1
La6 La 0.764 0.307 0.041 1
La7 La 0.276 0.307 0.041 1
La8 La 0.269 0.309 0.538 1
Co1 Co 0.000 0.500 0.500 1
Co2 Co 0.500 0.500 0.000 1
Co3 Co 0.500 0.500 0.500 1
Br1 Br 0.000 0.000 0.500 1
Br2 Br 0.500 0.000 0.500 1
Br3 Br 0.500 0.000 0.000 1
Br4 Br 0.000 0.000 0.000 1
Rh1 Rh 0.000 0.500 0.000 1
```


(7)
This record from the Alexandria database describes crystalline Ca2CuSb4Rh3 at its relaxed geometry. The functional is PBE.

Properties
* formation energy (no corrections): -0.59 eV/atom

```
data_Ca2CuSb4Rh3
_cell_length_a 4.520
_cell_length_b 4.520
_cell_length_c 10.725
_cell_angle_alpha 90.00
_cell_angle_beta 90.00
_cell_angle_gamma 90.00
_symmetry_space_group_name_H-M 'P 1'
_symmetry_Int_Tables_number 1
loop_
_symmetry_equiv_pos_as_xyz
'x,y,z'
loop_
_atom_site_label
_atom_site_type_symbol
_atom_site_fract_x
_atom_site_fract_y
_atom_site_fract_z
_atom_site_occupancy
Sb1 Sb 0.500 0.000 0.630 1
Sb2 Sb 0.500 0.500 0.000 1
Sb3 Sb 0.000 0.500 0.370 1
Sb4 Sb 0.000 0.000 0.000 1
Rh1 Rh 0.000 0.000 0.500 1
Rh2 Rh 0.000 0.500 0.127 1
Rh3 Rh 0.500 0.000 0.873 1
Cu1 Cu 0.500 0.500 0.500 1
Ca1 Ca 0.000 0.500 0.740 1
Ca2 Ca 0.500 0.000 0.260 1
```


(8)
This record from the Alexandria database describes crystalline PrB2H7 at its relaxed geometry. The functional is PBE.

Properties
* final energy: -38.56 eV/cell

```
data_PrB2H7
_cell_length_a 3.193
_cell_length_b 5.052
_cell_length_c 5.052
_cell_angle_alpha 111.09
_cell_angle_beta 90.00
_cell_angle_gamma 90.00
_symmetry_space_group_name_H-M 'P 1'
_symmetry_Int_Tables_number 1
loop_
_symmetry_equiv_pos_as_xyz
'x,y,z'
loop_
_atom_site_label
_atom_site_type_symbol
_atom_site_fract_x
_atom_site_fract_y
_atom_site_fract_z
_atom_site_occupancy
H1 H 0.500 0.132 0.416 1
H2 H 0.500 0.500 0.500 1
H3 H 0.000 0.303 0.697 1
H4 H 0.500 0.868 0.584 1
H5 H 0.000 0.697 0.303 1
H6 H 0.500 0.416 0.132 1
H7 H 0.500 0.584 0.868 1
Pr1 Pr 0.000 0.000 0.000 1
B1 B 0.500 0.663 0.337 1
B2 B 0.500 0.337 0.663 1
```


(9)
This record from the Alexandria database describes crystalline InIr2 at its relaxed geometry. The functional is PBE.

Properties
* calculated formation energy: 0.106 eV/atom

```
data_InIr2
_cell_length_a 5.326
_cell_length_b 5.326
_cell_length_c 6.823
_cell_angle_alpha 77.34
_cell_angle_beta 77.34
_cell_angle_gamma 31.39
_symmetry_space_group_name_H-M 'P 1'
_symmetry_Int_Tables_number 1
loop_
_symmetry_equiv_pos_as_xyz
'x,y,z'
loop_
_atom_site_label
_atom_site_type_symbol
_atom_site_fract_x
_atom_site_fract_y
_atom_site_fract_z
_atom_site_occupancy
Ir1 Ir 0.407 0.407 0.712 1
Ir2 Ir 0.327 0.327 0.335 1
Ir3 Ir 0.050 0.050 0.387 1
Ir4 Ir 0.712 0.712 0.062 1
In1 In 0.987 0.987 0.012 1
In2 In 0.685 0.685 0.658 1
```


(10)
This record from the Alexandria database describes crystalline TbNdGa6 at its relaxed geometry. The functional is PBE.

Properties
* calculated formation energy: -0.558 eV/atom

```
data_TbNdGa6
_cell_length_a 4.599
_cell_length_b 6.371
_cell_length_c 6.371
_cell_angle_alpha 119.97
_cell_angle_beta 90.00
_cell_angle_gamma 90.00
_symmetry_space_group_name_H-M 'P 1'
_symmetry_Int_Tables_number 1
loop_
_symmetry_equiv_pos_as_xyz
'x,y,z'
loop_
_atom_site_label
_atom_site_type_symbol
_atom_site_fract_x
_atom_site_fract_y
_atom_site_fract_z
_atom_site_occupancy
Ga1 Ga 0.500 0.463 0.107 1
Ga2 Ga 0.000 0.042 0.396 1
Ga3 Ga 0.500 0.893 0.537 1
Ga4 Ga 0.500 0.893 0.107 1
Ga5 Ga 0.000 0.604 0.958 1
Ga6 Ga 0.000 0.604 0.396 1
Tb1 Tb 0.500 0.416 0.584 1
Nd1 Nd 0.000 0.083 0.917 1
```


(11)
This record from the Alexandria database describes crystalline CaRh2 at its relaxed geometry. The functional is PBE.

Properties
* calculated formation energy: -0.109 eV/atom

```
data_CaRh2
_cell_length_a 5.522
_cell_length_b 5.522
_cell_length_c 5.522
_cell_angle_alpha 148.88
_cell_angle_beta 138.65
_cell_angle_gamma 52.64
_symmetry_space_group_name_H-M 'P 1'
_symmetry_Int_Tables_number 1
loop_
_symmetry_equiv_pos_as_xyz
'x,y,z'
loop_
_atom_site_label
_atom_site_type_symbol
_atom_site_fract_x
_atom_site_fract_y
_atom_site_fract_z
_atom_site_occupancy
Rh1 Rh 0.707 0.707 0.000 1
Rh2 Rh 0.293 0.293 0.000 1
Ca1 Ca 0.000 0.000 0.000 1
```


(12)
This record from the Alexandria database describes crystalline PmDyEr5Th2 at its relaxed geometry. The functional is PBE.

Properties
* calculated formation energy: 0.337 eV/atom

```
data_PmDyEr5Th2
_cell_length_a 8.729
_cell_length_b 8.729
_cell_length_c 9.859
_cell_angle_alpha 116.27
_cell_angle_beta 116.27
_cell_angle_gamma 90.00
_symmetry_space_group_name_H-M 'P 1'
_symmetry_Int_Tables_number 1
loop_
_symmetry_equiv_pos_as_xyz
'x,y,z'
loop_
_atom_site_label
_atom_site_type_symbol
_atom_site_fract_x
_atom_site_fract_y
_atom_site_fract_z
_atom_site_occupancy
Th1 Th 0.119 0.381 0.000 1
Th2 Th 0.381 0.881 0.000 1
Th3 Th 0.619 0.119 0.000 1
Th4 Th 0.881 0.619 0.000 1
Er1 Er 0.569 0.652 0.721 1
Er2 Er 0.000 0.000 0.000 1
Er3 Er 0.348 0.848 0.279 1
Er4 Er 0.069 0.569 0.721 1
Er5 Er 0.500 0.500 0.000 1
Er6 Er 0.931 0.431 0.279 1
Er7 Er 0.431 0.348 0.279 1
Er8 Er 0.652 0.152 0.721 1
Er9 Er 0.152 0.069 0.721 1
Er10 Er 0.848 0.931 0.279 1
Pm1 Pm 0.250 0.750 0.500 1
Pm2 Pm 0.750 0.250 0.500 1
Dy1 Dy 0.250 0.250 0.500 1
Dy2 Dy 0.750 0.750 0.500 1
```